# 1
VASP calculation (PBEsol) on crystalline RuPt3Rh at its relaxed geometry.

The structure in CIF format:
```
data_RuPt3Rh
_chemical_formula_sum 'Ru1 Pt3 Rh1'
_cell_length_a 4.660
_cell_length_b 4.660
_cell_length_c 4.660
_cell_angle_alpha 90.00
_cell_angle_beta 90.00
_cell_angle_gamma 90.00
_space_group_name_H-M_alt 'P 1'
_space_group_IT_number 1
loop_
_space_group_symop_operation_xyz
'x,y,z'
loop_
_atom_site_label
_atom_site_type_symbol
_atom_site_fract_x
_atom_site_fract_y
_atom_site_fract_z
Ru1 Ru 0.500 0.500 0.500
Rh1 Rh 0.000 0.000 0.000
Pt1 Pt 0.000 0.500 0.000
Pt2 Pt 0.000 0.000 0.500
Pt3 Pt 0.500 0.000 0.000
```

**Raw total energy**: -5.81 eV/atom
**Mass density**: 12.95 g/cm³
**Total moment**: 3.5 μB/f.u.
**E_form**: 2.027 eV/atom
**SG**: Pm-3m
**Calculated volume**: 20.2 Å³/atom

=====

# 2
VASP calculation (PBEsol) on crystalline Ru2PtRh at its relaxed geometry.

The structure in CIF format:
```
data_Ru2PtRh
_chemical_formula_sum 'Ru2 Pt1 Rh1'
_cell_length_a 2.684
_cell_length_b 4.651
_cell_length_c 4.661
_cell_angle_alpha 109.40
_cell_angle_beta 90.00
_cell_angle_gamma 90.00
_space_group_name_H-M_alt 'P 1'
_space_group_IT_number 1
loop_
_space_group_symop_operation_xyz
'x,y,z'
loop_
_atom_site_label
_atom_site_type_symbol
_atom_site_fract_x
_atom_site_fract_y
_atom_site_fract_z
Ru1 Ru 0.000 0.000 0.000
Ru2 Ru 0.500 0.500 0.000
Rh1 Rh 0.000 0.500 0.500
Pt1 Pt 0.500 0.000 0.500
```

**Raw total energy**: -8.80 eV/atom
**Energy relative to the lowest polymorph listed for this composition**: 0.061 eV/atom
**Mass density**: 15.13 g/cm³
**Total moment**: 0.0 μB/f.u.
**E_form**: 0.060 eV/atom
**SG**: P2/m
**Calculated volume**: 13.7 Å³/atom

=====

# 3
VASP calculation (PBEsol) on crystalline RuPtRh2 at its relaxed geometry.

The structure in CIF format:
```
data_RuPtRh2
_chemical_formula_sum 'Ru1 Pt1 Rh2'
_cell_length_a 2.684
_cell_length_b 4.666
_cell_length_c 4.662
_cell_angle_alpha 99.50
_cell_angle_beta 90.00
_cell_angle_gamma 106.71
_space_group_name_H-M_alt 'P 1'
_space_group_IT_number 1
loop_
_space_group_symop_operation_xyz
'x,y,z'
loop_
_atom_site_label
_atom_site_type_symbol
_atom_site_fract_x
_atom_site_fract_y
_atom_site_fract_z
Ru1 Ru 0.502 0.004 0.506
Rh1 Rh 0.999 0.997 0.997
Rh2 Rh 0.248 0.496 0.745
Pt1 Pt 0.751 0.503 0.252
```

**Raw total energy**: -8.34 eV/atom
**Energy relative to the lowest polymorph listed for this composition**: 0.047 eV/atom
**Mass density**: 15.14 g/cm³
**Total moment**: 0.0 μB/f.u.
**E_form**: 0.012 eV/atom
**SG**: Cm
**Calculated volume**: 13.8 Å³/atom

=====

# 4
VASP calculation (PBEsol) on crystalline RuPtRh at its relaxed geometry.

The structure in CIF format:
```
data_RuPtRh
_chemical_formula_sum 'Ru1 Pt1 Rh1'
_cell_length_a 2.690
_cell_length_b 2.690
_cell_length_c 6.077
_cell_angle_alpha 102.79
_cell_angle_beta 102.79
_cell_angle_gamma 90.00
_space_group_name_H-M_alt 'P 1'
_space_group_IT_number 1
loop_
_space_group_symop_operation_xyz
'x,y,z'
loop_
_atom_site_label
_atom_site_type_symbol
_atom_site_fract_x
_atom_site_fract_y
_atom_site_fract_z
Ru1 Ru 0.672 0.672 0.343
Rh1 Rh 0.326 0.326 0.651
Pt1 Pt 0.003 0.003 0.006
```

**Raw total energy**: -8.46 eV/atom
**Energy relative to the lowest polymorph listed for this composition**: 0.000 eV/atom
**Mass density**: 15.86 g/cm³
**Total moment**: 0.0 μB/f.u.
**E_form**: -0.030 eV/atom
**SG**: I4mm
**Calculated volume**: 13.9 Å³/atom

=====

# 5
VASP calculation (PBEsol) on crystalline RuPtRh2 at its relaxed geometry.

The structure in CIF format:
```
data_RuPtRh2
_chemical_formula_sum 'Ru1 Pt1 Rh2'
_cell_length_a 2.687
_cell_length_b 4.664
_cell_length_c 4.664
_cell_angle_alpha 109.49
_cell_angle_beta 90.00
_cell_angle_gamma 90.00
_space_group_name_H-M_alt 'P 1'
_space_group_IT_number 1
loop_
_space_group_symop_operation_xyz
'x,y,z'
loop_
_atom_site_label
_atom_site_type_symbol
_atom_site_fract_x
_atom_site_fract_y
_atom_site_fract_z
Ru1 Ru 0.500 0.000 0.000
Rh1 Rh 0.000 0.500 0.000
Rh2 Rh 0.000 0.000 0.500
Pt1 Pt 0.500 0.500 0.500
```

**Raw total energy**: -8.32 eV/atom
**Energy relative to the lowest polymorph listed for this composition**: 0.070 eV/atom
**Mass density**: 15.13 g/cm³
**Total moment**: 0.0 μB/f.u.
**E_form**: 0.035 eV/atom
**SG**: Cmmm
**Calculated volume**: 13.8 Å³/atom

=====

# 6
VASP calculation (PBEsol) on crystalline Ru2PtRh at its relaxed geometry.

The structure in CIF format:
```
data_Ru2PtRh
_chemical_formula_sum 'Ru2 Pt1 Rh1'
_cell_length_a 2.680
_cell_length_b 2.680
_cell_length_c 8.972
_cell_angle_alpha 81.41
_cell_angle_beta 81.41
_cell_angle_gamma 60.00
_space_group_name_H-M_alt 'P 1'
_space_group_IT_number 1
loop_
_space_group_symop_operation_xyz
'x,y,z'
loop_
_atom_site_label
_atom_site_type_symbol
_atom_site_fract_x
_atom_site_fract_y
_atom_site_fract_z
Ru1 Ru 0.252 0.252 0.244
Ru2 Ru 0.748 0.748 0.756
Rh1 Rh 0.000 0.000 0.000
Pt1 Pt 0.500 0.500 0.500
```

**Raw total energy**: -8.79 eV/atom
**Energy relative to the lowest polymorph listed for this composition**: 0.072 eV/atom
**Mass density**: 15.11 g/cm³
**Total moment**: 0.0 μB/f.u.
**E_form**: 0.070 eV/atom
**SG**: R-3m
**Calculated volume**: 13.7 Å³/atom

=====

# 7
VASP calculation (PBEsol) on crystalline RuPtRh at its relaxed geometry.

The structure in CIF format:
```
data_RuPtRh
_chemical_formula_sum 'Ru1 Pt1 Rh1'
_cell_length_a 2.623
_cell_length_b 4.333
_cell_length_c 4.333
_cell_angle_alpha 120.00
_cell_angle_beta 90.00
_cell_angle_gamma 90.00
_space_group_name_H-M_alt 'P 1'
_space_group_IT_number 1
loop_
_space_group_symop_operation_xyz
'x,y,z'
loop_
_atom_site_label
_atom_site_type_symbol
_atom_site_fract_x
_atom_site_fract_y
_atom_site_fract_z
Pt1 Pt 0.833 0.000 0.000
Rh1 Rh 0.833 0.667 0.333
Ru1 Ru 0.333 0.333 0.667
```

**Raw total energy**: -8.16 eV/atom
**Energy relative to the lowest polymorph listed for this composition**: 0.291 eV/atom
**Mass density**: 15.54 g/cm³
**Total moment**: 0.0 μB/f.u.
**E_form**: 0.260 eV/atom
**SG**: P-6m2
**Calculated volume**: 14.2 Å³/atom

=====

# 8
VASP calculation (PBEsol) on crystalline Ru2PtRh at its relaxed geometry.

The structure in CIF format:
```
data_Ru2PtRh
_chemical_formula_sum 'Ru2 Pt1 Rh1'
_cell_length_a 2.668
_cell_length_b 2.668
_cell_length_c 7.710
_cell_angle_alpha 90.00
_cell_angle_beta 90.00
_cell_angle_gamma 90.00
_space_group_name_H-M_alt 'P 1'
_space_group_IT_number 1
loop_
_space_group_symop_operation_xyz
'x,y,z'
loop_
_atom_site_label
_atom_site_type_symbol
_atom_site_fract_x
_atom_site_fract_y
_atom_site_fract_z
Ru1 Ru 0.000 0.000 0.744
Ru2 Ru 0.000 0.000 0.256
Rh1 Rh 0.500 0.500 0.500
Pt1 Pt 0.500 0.500 0.000
```

**Raw total energy**: -8.80 eV/atom
**Energy relative to the lowest polymorph listed for this composition**: 0.066 eV/atom
**Mass density**: 15.13 g/cm³
**Total moment**: 0.0 μB/f.u.
**E_form**: 0.064 eV/atom
**SG**: P4/mmm
**Calculated volume**: 13.7 Å³/atom

=====

# 9
VASP calculation (PBEsol) on crystalline Ru2PtRh at its relaxed geometry.

The structure in CIF format:
```
data_Ru2PtRh
_chemical_formula_sum 'Ru2 Pt1 Rh1'
_cell_length_a 3.779
_cell_length_b 3.779
_cell_length_c 4.677
_cell_angle_alpha 113.83
_cell_angle_beta 113.83
_cell_angle_gamma 90.00
_space_group_name_H-M_alt 'P 1'
_space_group_IT_number 1
loop_
_space_group_symop_operation_xyz
'x,y,z'
loop_
_atom_site_label
_atom_site_type_symbol
_atom_site_fract_x
_atom_site_fract_y
_atom_site_fract_z
Ru1 Ru 0.750 0.250 0.500
Ru2 Ru 0.250 0.750 0.500
Rh1 Rh 0.000 0.000 0.000
Pt1 Pt 0.500 0.500 0.000
```

**Raw total energy**: -8.81 eV/atom
**Energy relative to the lowest polymorph listed for this composition**: 0.051 eV/atom
**Mass density**: 15.15 g/cm³
**Total moment**: 0.0 μB/f.u.
**E_form**: 0.049 eV/atom
**SG**: I4/mmm
**Calculated volume**: 13.7 Å³/atom

=====

# 10
VASP calculation (PBEsol) on crystalline Ru2PtRh at its relaxed geometry.

The structure in CIF format:
```
data_Ru2PtRh
_chemical_formula_sum 'Ru2 Pt1 Rh1'
_cell_length_a 3.796
_cell_length_b 3.796
_cell_length_c 4.657
_cell_angle_alpha 114.05
_cell_angle_beta 114.05
_cell_angle_gamma 90.00
_space_group_name_H-M_alt 'P 1'
_space_group_IT_number 1
loop_
_space_group_symop_operation_xyz
'x,y,z'
loop_
_atom_site_label
_atom_site_type_symbol
_atom_site_fract_x
_atom_site_fract_y
_atom_site_fract_z
Ru1 Ru 0.000 0.000 0.000
Ru2 Ru 0.250 0.750 0.500
Rh1 Rh 0.750 0.250 0.500
Pt1 Pt 0.500 0.500 0.000
```

**Raw total energy**: -8.83 eV/atom
**Energy relative to the lowest polymorph listed for this composition**: 0.029 eV/atom
**Mass density**: 15.15 g/cm³
**Total moment**: 0.0 μB/f.u.
**E_form**: 0.028 eV/atom
**SG**: I-4m2
**Calculated volume**: 13.7 Å³/atom

=====

Which value of raw total energy does entry 6 give?
-8.79 eV/atom

=====

Copy entry 10 word for word.
VASP calculation (PBEsol) on crystalline Ru2PtRh at its relaxed geometry.

The structure in CIF format:
```
data_Ru2PtRh
_chemical_formula_sum 'Ru2 Pt1 Rh1'
_cell_length_a 3.796
_cell_length_b 3.796
_cell_length_c 4.657
_cell_angle_alpha 114.05
_cell_angle_beta 114.05
_cell_angle_gamma 90.00
_space_group_name_H-M_alt 'P 1'
_space_group_IT_number 1
loop_
_space_group_symop_operation_xyz
'x,y,z'
loop_
_atom_site_label
_atom_site_type_symbol
_atom_site_fract_x
_atom_site_fract_y
_atom_site_fract_z
Ru1 Ru 0.000 0.000 0.000
Ru2 Ru 0.250 0.750 0.500
Rh1 Rh 0.750 0.250 0.500
Pt1 Pt 0.500 0.500 0.000
```

**Raw total energy**: -8.83 eV/atom
**Energy relative to the lowest polymorph listed for this composition**: 0.029 eV/atom
**Mass density**: 15.15 g/cm³
**Total moment**: 0.0 μB/f.u.
**E_form**: 0.028 eV/atom
**SG**: I-4m2
**Calculated volume**: 13.7 Å³/atom